This record from Alexandria describes a geometry-optimized Sr2MnSi structure. The functional is PBE.

Computed properties:
ΔE_f (raw) (meV/atom): 262.0
Volume (Å³/f.u.): 146.3
DOS(E_F) (states/eV/f.u.): 3.773

Lattice parameters (Å, degrees): 11.3287 11.3287 4.5595 90.00 90.00 90.00
Space group I-42d (No. 122)
Unique sites:
Sr 0.0656 0.2500 0.1250 x8
Mn 0.0000 0.0000 0.0000 x4
Si 0.0000 0.0000 0.5000 x4

This record from Alexandria describes a geometry-optimized SrMnSi4 structure. The functional is PBE.

Computed properties:
ΔE_f (raw) (meV/atom): 230.3
Volume (Å³/f.u.): 106.9
DOS(E_F) (states/eV/f.u.): 4.040

Lattice parameters (Å, degrees): 7.5342 7.5342 7.5342 90.00 90.00 90.00
Space group F-43m (No. 216)
Unique sites:
Sr 0.0000 0.0000 0.0000 x4
Mn 0.2500 0.2500 0.7500 x4
Si 0.1224 0.1224 0.3776 x16

This record from Alexandria describes a geometry-optimized Sr2MnSi structure. The functional is PBE.

Computed properties:
ΔE_f (raw) (meV/atom): 249.8
Volume (Å³/f.u.): 116.0
DOS(E_F) (states/eV/f.u.): 3.373

Lattice parameters (Å, degrees): 3.8172 3.8172 7.9598 90.00 90.00 90.00
Space group P4/mmm (No. 123)
Unique sites:
Sr 0.0000 0.0000 0.2358 x2
Mn 0.5000 0.5000 0.5000 x1
Si 0.5000 0.5000 0.0000 x1

This record from Alexandria describes a geometry-optimized SrMnSi2 structure. The functional is PBE.

Computed properties:
ΔE_f (raw) (meV/atom): -83.2
Volume (Å³/f.u.): 84.4
DOS(E_F) (states/eV/f.u.): 2.341

Lattice parameters (Å, degrees): 3.5876 3.7753 12.4590 90.00 90.00 90.00
Space group Imm2 (No. 44)
Unique sites:
Sr 0.0000 0.0000 0.0000 x2
Mn 0.0000 0.5000 0.7642 x2
Si 0.0000 0.0000 0.6396 x2
Si 0.0000 0.5000 0.2714 x2

This record from Alexandria describes a geometry-optimized SrMnSi2 structure. The functional is PBE.

Computed properties:
ΔE_f (raw) (meV/atom): 379.7
Volume (Å³/f.u.): 80.1
DOS(E_F) (states/eV/f.u.): 2.596

Lattice parameters (Å, degrees): 6.2370 8.6072 2.9854 90.00 90.00 90.00
Space group Cmmm (No. 65)
Unique sites:
Sr 0.0000 0.0000 0.0000 x2
Mn 0.0000 0.5000 0.0000 x2
Si 0.2500 0.2500 0.5000 x4

This record from Alexandria describes a geometry-optimized SrMnSi structure. The functional is PBE.

Computed properties:
ΔE_f (raw) (meV/atom): 60.2
Volume (Å³/f.u.): 65.1
DOS(E_F) (states/eV/f.u.): 1.743

Lattice parameters (Å, degrees): 3.4019 3.4019 11.2490 90.00 90.00 90.00
Space group I4mm (No. 107)
Unique sites:
Sr 0.0000 0.0000 0.0000 x2
Mn 0.0000 0.0000 0.2740 x2
Si 0.0000 0.0000 0.7173 x2